An optimized crystal structure of SrVAg2As, computed with GGA-PBE.

It has space group P4/mmm (No. 123), with a = 5.412 Å, b = 5.412 Å, c = 5.563 Å, α = 90.00°, β = 90.00° and γ = 90.00°. Symmetry generates all atoms from Sr at (0.000, 0.000, 0.000), V at (0.500, 0.500, 0.500), Ag at (0.000, 0.500, 0.000) and As at (0.000, 0.000, 0.500).

Its formation energy is 1.567 eV per atom.